Entry 1:
First-principles (PBE) data for SmCoGe after structural relaxation, as listed in OQMD.

The total energy is -17.277 eV/cell. The density is 7.78 g cm⁻³. The space-group type is F-43m.

Unit cell a=4.398 b=4.398 c=4.398 alpha=60.00 beta=60.00 gamma=60.00
Element x y z (fractional)
Sm (0.000, 0.000, 0.000)
Co (0.750, 0.750, 0.750)
Ge (0.500, 0.500, 0.500)



Entry 2:
First-principles (PBE) data for Nd5In11Ni6 after structural relaxation, as listed in OQMD.

The total energy is -96.644 eV/cell. The density is 8.16 g cm⁻³. The space-group type is Cmmm.

Unit cell a=10.379 b=10.379 c=4.414 alpha=90.00 beta=90.00 gamma=90.16
Element x y z (fractional)
Nd (0.000, 0.000, 0.000)
Nd (0.190, 0.464, 0.500)
Nd (0.464, 0.190, 0.500)
Nd (0.536, 0.810, 0.500)
Nd (0.810, 0.536, 0.500)
In (0.036, 0.651, 0.000)
In (0.195, 0.805, 0.500)
In (0.225, 0.225, 0.000)
In (0.340, 0.660, 0.000)
In (0.349, 0.964, 0.000)
In (0.500, 0.500, 0.500)
In (0.651, 0.036, 0.000)
In (0.660, 0.340, 0.000)
In (0.775, 0.775, 0.000)
In (0.805, 0.195, 0.500)
In (0.964, 0.349, 0.000)
Ni (0.054, 0.221, 0.500)
Ni (0.221, 0.054, 0.500)
Ni (0.406, 0.406, 0.000)
Ni (0.594, 0.594, 0.000)
Ni (0.779, 0.946, 0.500)
Ni (0.946, 0.779, 0.500)



Entry 3:
First-principles (PBE) data for YTaTe after structural relaxation, as listed in OQMD.

The total energy is -20.632 eV/cell. The density is 8.47 g cm⁻³. The value obtained for the energy above the lowest structure with this stoichiometry is 0 meV/atom. The space-group type is F-43m.

Unit cell a=4.793 b=4.793 c=4.793 alpha=60.00 beta=60.00 gamma=60.00
Element x y z (fractional)
Y (0.000, 0.000, 0.000)
Ta (0.500, 0.500, 0.500)
Te (0.750, 0.750, 0.750)



Entry 4:
First-principles (PBE) data for HfFeCuB after structural relaxation, as listed in OQMD.

The total energy is -28.144 eV/cell. The density is 10.34 g cm⁻³. The value obtained for the energy above the lowest structure with this stoichiometry is 0 meV/atom. The space-group type is F-43m.

Unit cell a=4.124 b=4.124 c=4.124 alpha=60.00 beta=60.00 gamma=60.00
Element x y z (fractional)
Hf (0.000, 0.000, 0.000)
Fe (0.500, 0.500, 0.500)
Cu (0.750, 0.750, 0.750)
B (0.250, 0.250, 0.250)



Entry 5:
First-principles (PBE) data for Dy3LuNi4 after structural relaxation, as listed in OQMD.

The total energy is -44.405 eV/cell. The density is 9.55 g cm⁻³. The space-group type is Pm. As for the formation energy: -0.48 eV per atom.

Unit cell a=5.382 b=4.148 c=6.989 alpha=90.00 beta=90.18 gamma=90.00
Element x y z (fractional)
Dy (0.000, 0.000, 0.000)
Dy (0.239, 0.000, 0.497)
Dy (0.737, 0.500, 0.639)
Lu (0.500, 0.500, 0.139)
Ni (0.244, 0.500, 0.783)
Ni (0.494, 0.000, 0.859)
Ni (0.741, 0.000, 0.355)
Ni (0.994, 0.500, 0.280)



Entry 6:
First-principles (PBE) data for PmH12Pt4 after structural relaxation, as listed in OQMD.

The total energy is -73.146 eV/cell. The density is 8.83 g cm⁻³. The space-group type is Im-3.

Unit cell a=6.117 b=6.117 c=6.117 alpha=109.47 beta=109.47 gamma=109.47
Element x y z (fractional)
Pm (0.000, 0.000, 0.000)
H (0.004, 0.746, 0.259)
H (0.254, 0.259, 0.513)
H (0.254, 0.741, 0.996)
H (0.259, 0.004, 0.746)
H (0.259, 0.513, 0.254)
H (0.487, 0.746, 0.741)
H (0.513, 0.254, 0.259)
H (0.741, 0.487, 0.746)
H (0.741, 0.996, 0.254)
H (0.746, 0.259, 0.004)
H (0.746, 0.741, 0.487)
H (0.996, 0.254, 0.741)
Pt (0.000, 0.000, 0.500)
Pt (0.000, 0.500, 0.000)
Pt (0.500, 0.000, 0.000)
Pt (0.500, 0.500, 0.500)